1.
InTcPb2: relaxed, PBE.

```
data_InTcPb2
_cell_length_a 6.328
_cell_length_b 10.955
_cell_length_c 3.276
_cell_angle_alpha 90.00
_cell_angle_beta 119.98
_cell_angle_gamma 90.00
_symmetry_space_group_name_H-M 'C 1 2/m 1'
_symmetry_Int_Tables_number 12
_symmetry_space_group_name_Hall '-C 2y'
loop_
_atom_site_label
_atom_site_type_symbol
_atom_site_fract_x
_atom_site_fract_y
_atom_site_fract_z
In1 In 0.000 0.000 0.000
Tc1 Tc 0.000 0.500 0.000
Pb1 Pb 0.250 0.250 0.500
```

Its density of states at the Fermi level is 5.39 states/eV/cell. The calculation puts the energy of formation from the pure elements at 0.681 eV per atom. Its total magnetic moment is 2.201 μB/f.u. The total energy is -4.45 eV/atom.



2.
ScZn2Cd4: relaxed, PBE.

```
data_ScZn2Cd4
_cell_length_a 4.703
_cell_length_b 18.785
_cell_length_c 3.196
_cell_angle_alpha 90.00
_cell_angle_beta 90.00
_cell_angle_gamma 90.00
_symmetry_space_group_name_H-M 'C m m m'
_symmetry_Int_Tables_number 65
_symmetry_space_group_name_Hall '-C 2 2'
loop_
_atom_site_label
_atom_site_type_symbol
_atom_site_fract_x
_atom_site_fract_y
_atom_site_fract_z
Sc1 Sc 0.000 0.000 0.000
Zn1 Zn 0.000 0.434 0.500
Cd1 Cd 0.000 0.144 0.500
Cd2 Cd 0.000 0.299 0.000
```

Its density of states at the Fermi level is 5.07 states/eV/cell. The calculation puts the energy of formation from the pure elements at -0.108 eV per atom. Its total magnetic moment is 0.000 μB/f.u. The total energy is -1.90 eV/atom.



3.
CsCdSbSe3: relaxed, PBE.

```
data_CsCdSbSe3
_cell_length_a 9.778
_cell_length_b 4.335
_cell_length_c 10.650
_cell_angle_alpha 90.00
_cell_angle_beta 108.43
_cell_angle_gamma 90.00
_symmetry_space_group_name_H-M 'P 1 21/m 1'
_symmetry_Int_Tables_number 11
_symmetry_space_group_name_Hall '-P 2yb'
loop_
_atom_site_label
_atom_site_type_symbol
_atom_site_fract_x
_atom_site_fract_y
_atom_site_fract_z
Cs1 Cs 0.200 0.250 0.240
Cd1 Cd 0.094 0.250 0.614
Sb1 Sb 0.340 0.750 0.876
Se1 Se 0.143 0.250 0.876
Se2 Se 0.200 0.750 0.526
Se3 Se 0.453 0.750 0.136
```

Its raw formation energy is -15.75 kcal/mol of atoms. Its total magnetic moment is 0.000 μB/f.u. The total energy is -3.41 eV/atom.



4.
MnZn2In2Pt5: relaxed, PBE.

```
data_MnZn2In2Pt5
_cell_length_a 9.316
_cell_length_b 9.316
_cell_length_c 3.865
_cell_angle_alpha 90.00
_cell_angle_beta 90.00
_cell_angle_gamma 90.00
_symmetry_space_group_name_H-M 'P 4/m b m'
_symmetry_Int_Tables_number 127
_symmetry_space_group_name_Hall '-P 4 2ab'
loop_
_atom_site_label
_atom_site_type_symbol
_atom_site_fract_x
_atom_site_fract_y
_atom_site_fract_z
Mn1 Mn 0.000 0.000 0.000
Zn1 Zn 0.126 0.374 0.000
In1 In 0.172 0.672 0.000
Pt1 Pt 0.000 0.500 0.500
Pt2 Pt 0.085 0.192 0.500
```

Its density of states at the Fermi level is 6.84 states/eV/cell. The calculation puts the energy of formation from the pure elements at -0.342 eV per atom. Its total magnetic moment is 4.500 μB/f.u. The total energy is -5.08 eV/atom.



5.
PmPr2Sb2Te2: relaxed, PBE.

```
data_PmPr2Sb2Te2
_cell_length_a 5.850
_cell_length_b 5.850
_cell_length_c 15.763
_cell_angle_alpha 90.00
_cell_angle_beta 90.00
_cell_angle_gamma 90.00
_symmetry_space_group_name_H-M 'I 4/m m m'
_symmetry_Int_Tables_number 139
_symmetry_space_group_name_Hall '-I 4 2'
loop_
_atom_site_label
_atom_site_type_symbol
_atom_site_fract_x
_atom_site_fract_y
_atom_site_fract_z
Pm1 Pm 0.000 0.000 0.000
Pr1 Pr 0.000 0.000 0.386
Sb1 Sb 0.000 0.500 0.000
Te1 Te 0.000 0.000 0.195
```

Its density of states at the Fermi level is 11.83 states/eV/cell. Its raw formation energy is -17.56 kcal/mol of atoms. Its total magnetic moment is 0.000 μB/f.u. The total energy is -4.88 eV/atom.



6.
Ba2NpHO6: relaxed, PBE.

```
data_Ba2NpHO6
_cell_length_a 8.370
_cell_length_b 8.370
_cell_length_c 8.370
_cell_angle_alpha 90.00
_cell_angle_beta 90.00
_cell_angle_gamma 90.00
_symmetry_space_group_name_H-M 'F m -3 m'
_symmetry_Int_Tables_number 225
_symmetry_space_group_name_Hall '-F 4 2 3'
loop_
_atom_site_label
_atom_site_type_symbol
_atom_site_fract_x
_atom_site_fract_y
_atom_site_fract_z
Ba1 Ba 0.250 0.250 0.250
Np1 Np 0.000 0.000 0.000
H1 H 0.000 0.000 0.500
O1 O 0.000 0.000 0.242
```

Its total magnetic moment is 0.000 μB/f.u. The total energy is -7.14 eV/atom.